## A
Material: Cd5As
Method: DFT, PBE
State: optimized geometry

Geometry as CIF:
```
data_Cd5As
_cell_length_a 5.562
_cell_length_b 2.922
_cell_length_c 16.679
_cell_angle_alpha 90.00
_cell_angle_beta 90.00
_cell_angle_gamma 90.00
_space_group_name_H-M_alt 'A m m 2'
_space_group_IT_number 38
loop_
_space_group_symop_operation_xyz
'x,y,z'
'-x,-y,z'
'-x,y,z'
'x,-y,z'
'x,y+1/2,z+1/2'
'-x,-y+1/2,z+1/2'
'-x,y+1/2,z+1/2'
'x,-y+1/2,z+1/2'
loop_
_atom_site_label
_atom_site_fract_x
_atom_site_fract_y
_atom_site_fract_z
Cd1 0.000 0.000 0.000
Cd2 0.000 0.000 0.328
Cd3 0.500 0.000 0.166
Cd4 0.500 0.000 0.499
Cd5 0.500 0.000 0.834
As1 0.000 0.000 0.664
```

Output
N(E_F) = 0.31 states/eV per atom



## B
Material: Cd5As
Method: DFT, PBE
State: optimized geometry

Geometry as CIF:
```
data_Cd5As
_cell_length_a 5.6608
_cell_length_b 5.6608
_cell_length_c 5.2740
_cell_angle_alpha 90.00
_cell_angle_beta 90.00
_cell_angle_gamma 120.00
_space_group_name_H-M_alt 'P 6/m m m'
_space_group_IT_number 191
_space_group_name_Hall '-P 6 2'
loop_
_atom_site_label
_atom_site_fract_x
_atom_site_fract_y
_atom_site_fract_z
Cd1 0.0000 0.5000 0.0000
Cd2 0.3333 0.6667 0.5000
As1 0.0000 0.0000 0.5000
```

Output
N(E_F) = 0.48 states/eV per atom



Result of the stability comparison: B is the least stable of them.



## A
Material: Cd5As
Method: DFT, PBE
State: optimized geometry

Geometry as CIF:
```
data_Cd5As
_cell_length_a 4.414
_cell_length_b 13.359
_cell_length_c 4.531
_cell_angle_alpha 90.00
_cell_angle_beta 90.00
_cell_angle_gamma 90.00
_space_group_name_H-M_alt 'C m m m'
_space_group_IT_number 65
_space_group_name_Hall '-C 2 2'
loop_
_atom_site_label
_atom_site_fract_x
_atom_site_fract_y
_atom_site_fract_z
Cd1 0.000 0.000 0.000
Cd2 0.000 0.166 0.500
Cd3 0.000 0.333 0.000
As1 0.000 0.500 0.500
```

Output
N(E_F) = 0.37 states/eV per atom



## B
Material: Cd5As
Method: DFT, PBE
State: optimized geometry

Geometry as CIF:
```
data_Cd5As
_cell_length_a 3.209
_cell_length_b 3.209
_cell_length_c 12.990
_cell_angle_alpha 90.00
_cell_angle_beta 90.00
_cell_angle_gamma 90.00
_space_group_name_H-M_alt 'P 4/m m m'
_space_group_IT_number 123
_space_group_name_Hall '-P 4 2'
loop_
_atom_site_label
_atom_site_fract_x
_atom_site_fract_y
_atom_site_fract_z
Cd1 0.000 0.000 0.000
Cd2 0.000 0.000 0.340
Cd3 0.500 0.500 0.169
As1 0.500 0.500 0.500
```

Output
N(E_F) = 0.44 states/eV per atom



Result of the stability comparison: B is the least stable of them.



## A
Material: Cd3As5
Method: DFT, PBE
State: optimized geometry

Geometry as CIF:
```
data_Cd3As5
_cell_length_a 8.121
_cell_length_b 8.276
_cell_length_c 5.168
_cell_angle_alpha 90.00
_cell_angle_beta 90.00
_cell_angle_gamma 90.00
_space_group_name_H-M_alt 'C m m m'
_space_group_IT_number 65
_space_group_name_Hall '-C 2 2'
loop_
_atom_site_label
_atom_site_fract_x
_atom_site_fract_y
_atom_site_fract_z
Cd1 0.000 0.000 0.000
Cd2 0.000 0.183 0.500
As1 0.000 0.500 0.000
As2 0.154 0.500 0.500
As3 0.250 0.250 0.000
```

Output
N(E_F) = 0.67 states/eV per atom



## B
Material: Cd3As5
Method: DFT, PBE
State: optimized geometry

Geometry as CIF:
```
data_Cd3As5
_cell_length_a 8.4707
_cell_length_b 8.4707
_cell_length_c 6.0639
_cell_angle_alpha 90.00
_cell_angle_beta 90.00
_cell_angle_gamma 120.00
_space_group_name_H-M_alt 'P 63/m c m'
_space_group_IT_number 193
_space_group_name_Hall '-P 6c 2'
loop_
_atom_site_label
_atom_site_fract_x
_atom_site_fract_y
_atom_site_fract_z
Cd1 0.0000 0.4366 0.2500
As1 0.0000 0.1677 0.7500
As2 0.3333 0.6667 0.0000
```

Output
N(E_F) = 0.43 states/eV per atom



Result of the stability comparison: A is the least stable of them.